(1)
Density functional theory data (GGA-PBE) for a relaxed structure of BeHgRu3.

Structure (extended XYZ):
```
5
Lattice="-1.641 -3.860 0.082 1.798 -0.685 3.728 -3.416 1.493 1.922" Properties=species:S:1:pos:R:3 pbc="T T T"
Ru 0.899 -0.343 1.864
Ru -1.708 0.747 0.961
Ru -0.820 -1.930 0.041
Hg -1.630 -1.526 2.866
Be 0.000 0.000 0.000
```

- Formation energy: 641 meV per atom



(2)
Density functional theory data (GGA-PBE) for a relaxed structure of Be2HgRu.

Structure (extended XYZ):
```
8
Lattice="6.339 0.000 0.000 0.000 6.339 0.000 3.170 3.170 2.740" Properties=species:S:1:pos:R:3 pbc="T T T"
Ru 3.170 3.170 0.000
Ru 3.170 6.339 1.370
Hg 0.000 0.000 0.000
Hg 6.339 3.170 1.370
Be 4.618 1.585 0.685
Be 1.721 4.755 0.685
Be 4.755 4.891 2.055
Be 7.924 7.788 2.055
```

- Formation energy: 422 meV per atom



(3)
Density functional theory data (GGA-PBE) for a relaxed structure of BeHg2Ru.

Structure (extended XYZ):
```
4
Lattice="-3.867 -2.333 0.515 -1.721 -2.346 -3.492 0.078 -4.545 0.057" Properties=species:S:1:pos:R:3 pbc="T T T"
Ru -4.133 -6.918 -2.191
Hg 0.000 0.000 0.000
Hg -1.378 -2.306 -0.730
Be -2.755 -4.612 -1.460
```

- Formation energy: 647 meV per atom



(4)
Density functional theory data (GGA-PBE) for a relaxed structure of Be2HgRu.

Structure (extended XYZ):
```
4
Lattice="3.661 0.000 0.000 0.000 3.136 -0.003 0.000 1.569 4.364" Properties=species:S:1:pos:R:3 pbc="T T T"
Ru 1.830 3.723 3.736
Hg 0.000 2.156 1.854
Be 0.000 2.158 4.204
Be 1.830 0.588 1.113
```

- Formation energy: 119 meV per atom



(5)
Density functional theory data (GGA-PBE) for a relaxed structure of BeHg2Ru.

Structure (extended XYZ):
```
4
Lattice="-5.582 0.995 6.605 -6.987 -1.160 5.060 -4.816 -1.879 7.003" Properties=species:S:1:pos:R:3 pbc="T T T"
Ru -4.346 -0.511 4.667
Hg -0.130 -0.015 0.140
Hg -8.562 -1.006 9.194
Be -13.039 -1.533 14.001
```

- Formation energy: 615 meV per atom



(6)
Density functional theory data (GGA-PBE) for a relaxed structure of BeHgRu2.

Structure (extended XYZ):
```
4
Lattice="0.000 3.076 3.076 3.076 0.000 3.076 3.076 3.076 0.000" Properties=species:S:1:pos:R:3 pbc="T T T"
Ru 1.538 1.538 1.538
Ru 4.614 4.614 4.614
Hg 3.076 3.076 3.076
Be 0.000 0.000 0.000
```

- Formation energy: 571 meV per atom



(7)
Density functional theory data (GGA-PBE) for a relaxed structure of Be4HgRu.

Structure (extended XYZ):
```
6
Lattice="3.428 -1.095 -2.729 3.092 -3.003 1.351 0.154 -4.094 -1.902" Properties=species:S:1:pos:R:3 pbc="T T T"
Be 4.106 -3.058 -1.091
Be 2.615 -3.611 -2.742
Be 4.184 -5.135 -2.056
Be 2.444 -4.580 -0.671
Hg 1.669 -2.048 -0.820
Ru 0.000 0.000 0.000
```

- Formation energy: 52 meV per atom



(8)
Density functional theory data (GGA-PBE) for a relaxed structure of BeHgRu2.

Structure (extended XYZ):
```
4
Lattice="4.681 -0.006 0.000 -1.858 4.297 0.000 0.000 0.000 2.960" Properties=species:S:1:pos:R:3 pbc="T T T"
Ru 0.000 0.000 0.000
Ru 1.412 2.145 0.000
Hg -0.929 2.148 1.480
Be 2.341 -0.003 1.480
```

- Formation energy: 613 meV per atom



(9)
Density functional theory data (GGA-PBE) for a relaxed structure of BeHg2Ru.

Structure (extended XYZ):
```
4
Lattice="5.498 -0.009 -0.013 4.609 2.998 -0.013 1.822 0.539 4.035" Properties=species:S:1:pos:R:3 pbc="T T T"
Ru 6.352 1.879 1.813
Hg 9.900 2.928 0.075
Hg 9.054 2.677 2.954
Be 2.692 0.796 1.146
```

- Formation energy: 379 meV per atom



(10)
Density functional theory data (GGA-PBE) for a relaxed structure of BeHg2Ru.

Structure (extended XYZ):
```
4
Lattice="-2.461 -1.795 4.133 2.557 -3.645 2.556 1.168 4.675 -1.772" Properties=species:S:1:pos:R:3 pbc="T T T"
Ru 1.886 -0.845 2.065
Hg 0.000 0.000 0.000
Hg 0.048 -2.720 3.345
Be -0.623 0.080 2.853
```

- Formation energy: 589 meV per atom



(11)
Density functional theory data (GGA-PBE) for a relaxed structure of BeHg2Ru.

Structure (extended XYZ):
```
8
Lattice="3.918 0.000 0.000 0.000 3.918 0.000 1.959 1.959 9.593" Properties=species:S:1:pos:R:3 pbc="T T T"
Ru 0.000 0.000 0.000
Ru 3.918 1.959 4.796
Hg 2.928 0.979 2.398
Hg 0.990 2.938 2.398
Hg 2.938 2.949 7.195
Hg 4.897 4.886 7.195
Be 1.959 1.959 0.000
Be 1.959 3.918 4.796
```

- Formation energy: 781 meV per atom



(12)
Density functional theory data (GGA-PBE) for a relaxed structure of BeHgRu2.

Structure (extended XYZ):
```
4
Lattice="-7.624 -0.422 -4.592 -6.911 -3.142 -4.665 -8.303 -2.112 -2.448" Properties=species:S:1:pos:R:3 pbc="T T T"
Ru -22.595 -5.615 -11.580
Ru -5.619 -1.396 -2.880
Hg -17.197 -4.273 -8.814
Be -11.686 -2.904 -5.989
```

- Formation energy: 352 meV per atom



(13)
Density functional theory data (GGA-PBE) for a relaxed structure of BeHg2Ru.

Structure (extended XYZ):
```
4
Lattice="-2.722 -0.858 -0.499 1.935 -2.115 -0.418 -0.808 -2.442 8.618" Properties=species:S:1:pos:R:3 pbc="T T T"
Ru -0.446 -1.346 4.749
Hg -0.768 -2.319 8.183
Hg -0.621 -2.175 1.971
Be -0.974 -3.239 5.725
```

- Formation energy: 407 meV per atom



(14)
Density functional theory data (GGA-PBE) for a relaxed structure of BeHg2Ru.

Structure (extended XYZ):
```
4
Lattice="-1.652 -2.390 -0.743 0.409 0.745 2.876 -7.244 5.096 -0.290" Properties=species:S:1:pos:R:3 pbc="T T T"
Ru -2.432 0.452 0.994
Hg -7.099 4.994 -0.285
Hg -3.767 2.650 -0.151
Be -6.054 3.000 0.849
```

- Formation energy: 675 meV per atom



(15)
Density functional theory data (GGA-PBE) for a relaxed structure of BeHg2RuS.

Structure (extended XYZ):
```
5
Lattice="5.670 0.000 0.000 0.000 3.551 0.000 0.000 0.000 5.670" Properties=species:S:1:pos:R:3 pbc="T T T"
Ru 2.835 1.775 2.835
S 0.000 0.000 0.000
Hg 0.000 0.000 2.835
Hg 2.835 0.000 0.000
Be 0.000 1.775 0.000
```

- Total energy: -2.58 eV per atom



(16)
Density functional theory data (GGA-PBE) for a relaxed structure of BeSnHgRu2.

Structure (extended XYZ):
```
5
Lattice="-1.528 3.077 3.720 -4.901 -0.061 -1.962 -1.101 -4.021 2.874" Properties=species:S:1:pos:R:3 pbc="T T T"
Ru -0.550 -2.010 1.437
Ru -0.764 1.539 1.860
Be -3.765 -0.502 2.316
Hg 0.000 0.000 0.000
Sn -2.450 -0.031 -0.981
```

- Formation energy: 2222 meV per atom



(17)
Density functional theory data (GGA-PBE) for a relaxed structure of BeZnHgRu2.

Structure (extended XYZ):
```
5
Lattice="4.213 0.000 0.000 0.000 4.391 0.000 0.000 0.000 4.213" Properties=species:S:1:pos:R:3 pbc="T T T"
Ru 0.000 0.000 2.107
Ru 2.107 0.000 0.000
Zn 2.107 2.195 2.107
Hg 0.000 2.195 0.000
Be 0.000 0.000 0.000
```

- Formation energy: 608 meV per atom



(18)
Density functional theory data (GGA-PBE) for a relaxed structure of Be2HgS.

Structure (extended XYZ):
```
4
Lattice="0.000 3.112 3.112 3.112 0.000 3.112 3.112 3.112 0.000" Properties=species:S:1:pos:R:3 pbc="T T T"
Be 1.556 1.556 1.556
Be 4.668 4.668 4.668
S 0.000 0.000 0.000
Hg 3.112 3.112 3.112
```

- Total energy: -2.20 eV per atom



(19)
Density functional theory data (GGA-PBE) for a relaxed structure of Be3HgS.

Structure (extended XYZ):
```
5
Lattice="-3.337 -2.397 -0.667 2.283 -2.505 -2.416 0.990 -2.303 3.323" Properties=species:S:1:pos:R:3 pbc="T T T"
Be 1.142 -1.253 -1.208
Be 0.495 -1.151 1.662
Be -1.668 -1.199 -0.334
S 0.000 0.000 0.000
Hg -0.032 -3.603 0.120
```

- Total energy: -2.49 eV per atom



(20)
Density functional theory data (GGA-PBE) for a relaxed structure of BeHg2S.

Structure (extended XYZ):
```
4
Lattice="0.000 3.430 3.430 3.430 0.000 3.430 3.430 3.430 0.000" Properties=species:S:1:pos:R:3 pbc="T T T"
Be 0.000 0.000 0.000
S 3.430 3.430 3.430
Hg 1.715 1.715 1.715
Hg 5.144 5.144 5.144
```

- Total energy: -1.37 eV per atom